(1)
A relaxed structure of Ba2WI, computed with PBE-GGA.

a b c (Å): 7.683 7.683 7.683
angles (deg): 109.37 109.37 109.67
Sites, in units of the cell vectors:
Ba1 0.096 0.625 0.971
Ba2 0.375 0.346 0.471
Ba3 0.654 0.125 0.029
Ba4 0.875 0.904 0.529
W1 0.000 0.000 0.000
W2 0.750 0.250 0.500
I1 0.250 0.750 0.500
I2 0.500 0.500 0.000

Output
Distance to the lowest polymorph of the same formula: 62 meV per atom
Energy relative to the elements, uncorrected: 0.715 eV per atom
Total magnetic moment: 3.003 μB per formula unit
Space-group type: I-42d, No. 122

***

(2)
A relaxed structure of BaWI3, computed with PBE-GGA.

a b c (Å): 5.666 5.666 5.666
angles (deg): 90.00 90.00 90.00
Sites, in units of the cell vectors:
Ba1 0.000 0.000 0.000
W1 0.500 0.500 0.500
I1 0.000 0.500 0.500
I2 0.500 0.000 0.500
I3 0.500 0.500 0.000

Output
Distance to the lowest polymorph of the same formula: 0 meV per atom
Energy relative to the elements, uncorrected: -0.018 eV per atom
Total magnetic moment: 3.244 μB per formula unit
Space-group type: Pm-3m, No. 221

***

(3)
A relaxed structure of BaW3I, computed with PBE-GGA.

a b c (Å): 5.061 5.061 5.061
angles (deg): 90.00 90.00 90.00
Sites, in units of the cell vectors:
Ba1 0.000 0.000 0.000
W1 0.000 0.500 0.500
W2 0.500 0.000 0.500
W3 0.500 0.500 0.000
I1 0.500 0.500 0.500

Output
Distance to the lowest polymorph of the same formula: 0 meV per atom
Energy relative to the elements, uncorrected: 2.446 eV per atom
Total magnetic moment: 0.000 μB per formula unit
Space-group type: Pm-3m, No. 221

***

(4)
A relaxed structure of Ba2WI, computed with PBE-GGA.

a b c (Å): 5.968 5.968 5.968
angles (deg): 60.00 60.00 60.00
Sites, in units of the cell vectors:
Ba1 0.250 0.250 0.250
Ba2 0.750 0.750 0.750
W1 0.000 0.000 0.000
I1 0.500 0.500 0.500

Output
Distance to the lowest polymorph of the same formula: 0 meV per atom
Energy relative to the elements, uncorrected: 0.653 eV per atom
Total magnetic moment: 3.638 μB per formula unit
Space-group type: Fm-3m, No. 225

***

(5)
A relaxed structure of BaW3I, computed with PBE-GGA.

a b c (Å): 5.120 5.120 5.120
angles (deg): 90.00 90.00 90.00
Sites, in units of the cell vectors:
Ba1 0.000 0.000 0.000
W1 0.000 0.000 0.500
W2 0.000 0.500 0.000
W3 0.500 0.000 0.000
I1 0.500 0.500 0.500

Output
Distance to the lowest polymorph of the same formula: 1505 meV per atom
Energy relative to the elements, uncorrected: 3.951 eV per atom
Total magnetic moment: 0.000 μB per formula unit
Space-group type: Pm-3m, No. 221

***

(6)
A relaxed structure of Ba3Y2I12, computed with PBE-GGA.

a b c (Å): 13.249 13.249 8.022
angles (deg): 90.00 90.00 90.00
Sites, in units of the cell vectors:
Ba1 0.000 0.000 0.000
Ba2 0.188 0.312 0.500
Ba3 0.312 0.812 0.500
Ba4 0.500 0.500 0.000
Ba5 0.688 0.188 0.500
Ba6 0.812 0.688 0.500
Y1 0.137 0.637 0.000
Y2 0.363 0.137 0.000
Y3 0.637 0.863 0.000
Y4 0.863 0.363 0.000
I1 0.000 0.500 0.239
I2 0.000 0.500 0.761
I3 0.057 0.788 0.266
I4 0.057 0.788 0.734
I5 0.196 0.304 0.000
I6 0.212 0.057 0.266
I7 0.212 0.057 0.734
I8 0.288 0.557 0.266
I9 0.288 0.557 0.734
I10 0.304 0.804 0.000
I11 0.443 0.288 0.266
I12 0.443 0.288 0.734
I13 0.500 0.000 0.239
I14 0.500 0.000 0.761
I15 0.557 0.712 0.266
I16 0.557 0.712 0.734
I17 0.696 0.196 0.000
I18 0.712 0.443 0.266
I19 0.712 0.443 0.734
I20 0.788 0.943 0.266
I21 0.788 0.943 0.734
I22 0.804 0.696 0.000
I23 0.943 0.212 0.266
I24 0.943 0.212 0.734

Output
Energy relative to the elements, uncorrected: -1.518 eV per atom
Total magnetic moment: 0.000 μB per formula unit
Space-group type: P4/mbm, No. 127

***

(7)
A relaxed structure of BaYI3, computed with PBE-GGA.

a b c (Å): 5.977 5.977 5.977
angles (deg): 90.00 90.00 90.00
Sites, in units of the cell vectors:
Ba1 0.000 0.000 0.000
Y1 0.500 0.500 0.500
I1 0.000 0.500 0.500
I2 0.500 0.000 0.500
I3 0.500 0.500 0.000

Output
Distance to the lowest polymorph of the same formula: 0 meV per atom
Energy relative to the elements, uncorrected: -0.996 eV per atom
Total magnetic moment: 0.000 μB per formula unit
Space-group type: Pm-3m, No. 221

***

(8)
A relaxed structure of BaYI2, computed with PBE-GGA.

a b c (Å): 11.239 11.239 11.239
angles (deg): 149.66 149.66 43.44
Sites, in units of the cell vectors:
Ba1 0.000 0.000 0.000
Ba2 0.750 0.250 0.500
Y1 0.250 0.750 0.500
Y2 0.500 0.500 0.000
I1 0.170 0.625 0.045
I2 0.375 0.420 0.545
I3 0.580 0.125 0.955
I4 0.875 0.830 0.455

Output
Distance to the lowest polymorph of the same formula: 157 meV per atom
Energy relative to the elements, uncorrected: -0.679 eV per atom
Total magnetic moment: 1.271 μB per formula unit
Space-group type: I-42d, No. 122

***

(9)
A relaxed structure of BaYI3, computed with PBE-GGA.

a b c (Å): 6.654 6.654 6.654
angles (deg): 90.00 90.00 90.00
Sites, in units of the cell vectors:
Ba1 0.000 0.000 0.000
Y1 0.500 0.500 0.500
I1 0.000 0.000 0.500
I2 0.000 0.500 0.000
I3 0.500 0.000 0.000

Output
Distance to the lowest polymorph of the same formula: 436 meV per atom
Energy relative to the elements, uncorrected: -0.560 eV per atom
Total magnetic moment: 1.869 μB per formula unit
Space-group type: Pm-3m, No. 221

***

(10)
A relaxed structure of BaYI2, computed with PBE-GGA.

a b c (Å): 11.590 11.590 11.590
angles (deg): 20.56 20.56 20.56
Sites, in units of the cell vectors:
Ba1 0.000 0.000 0.000
Y1 0.500 0.500 0.500
I1 0.107 0.107 0.107
I2 0.893 0.893 0.893

Output
Distance to the lowest polymorph of the same formula: 0 meV per atom
Energy relative to the elements, uncorrected: -0.836 eV per atom
Total magnetic moment: 0.002 μB per formula unit
Space-group type: R-3m, No. 166

***

(11)
A relaxed structure of BaYI2, computed with PBE-GGA.

a b c (Å): 5.726 5.726 5.726
angles (deg): 60.00 60.00 60.00
Sites, in units of the cell vectors:
Ba1 0.000 0.000 0.000
Y1 0.500 0.500 0.500
I1 0.250 0.250 0.250
I2 0.750 0.750 0.750

Output
Distance to the lowest polymorph of the same formula: 74 meV per atom
Energy relative to the elements, uncorrected: -0.762 eV per atom
Total magnetic moment: 0.000 μB per formula unit
Space-group type: Fm-3m, No. 225

***

(12)
A relaxed structure of BaYI5, computed with PBE-GGA.

a b c (Å): 8.421 8.421 11.885
angles (deg): 109.29 109.29 70.13
Sites, in units of the cell vectors:
Ba1 0.052 0.948 0.750
Ba2 0.948 0.052 0.250
Y1 0.500 0.500 0.000
Y2 0.500 0.500 0.500
I1 0.140 0.747 0.011
I2 0.196 0.347 0.377
I3 0.253 0.860 0.489
I4 0.347 0.196 0.877
I5 0.422 0.578 0.750
I6 0.578 0.422 0.250
I7 0.653 0.804 0.123
I8 0.747 0.140 0.511
I9 0.804 0.653 0.623
I10 0.860 0.253 0.989

Output
Distance to the lowest polymorph of the same formula: 0 meV per atom
Energy relative to the elements, uncorrected: -1.498 eV per atom
Total magnetic moment: 0.000 μB per formula unit
Space-group type: C2/c, No. 15